First-principles (GGA-PBE) data for a relaxed TmBePO crystal, as listed in OQMD.

**Electronic total energy**: -6.54 eV per atom
**ΔE to the lowest computed polymorph**: 2.7 kJ/mol of atoms
**Crystal system**: orthorhombic
**Space group**: Pmc2_1 (26)

Geometry as POSCAR:
```
TmBePO
1.0
-2.657 2.984 0.839
-1.883 -0.148 -5.440
-3.678 -3.661 1.373
Be P Tm O
2 2 2 2
direct
0.500 0.115 0.544
0.500 0.885 0.044
0.000 0.731 0.927
0.000 0.269 0.427
0.000 0.252 0.920
0.000 0.748 0.420
0.500 0.880 0.363
0.500 0.120 0.863
```